! PBE-GGA HfVTeN2, relaxed; values from VASP
! Calculated total energy in eV/atom: -7.388
! Magnetization in μB/cell: 0.00
! Density of states at the Fermi level in states/eV per cell: 3.590
! Space-group type: P4/mmm
! Calculated volume in Å³ per atom: 16.01
&SYSTEM
  ibrav = 0, nat = 5, ntyp = 4
/
ATOMIC_SPECIES
Hf 178.49 Hf.upf
V 50.94 V.upf
Te 127.60 Te.upf
N 14.01 N.upf
CELL_PARAMETERS angstrom
3.9206 0.0000 0.0000
0.0000 3.9206 0.0000
0.0000 0.0000 5.2068
ATOMIC_POSITIONS crystal
Hf 0.0000 0.0000 0.0000
V 0.5000 0.5000 0.5000
Te 0.5000 0.5000 0.0000
N 0.0000 0.5000 0.5000
N 0.5000 0.0000 0.5000

! PBE-GGA HfVTe2N, relaxed; values from VASP
! Calculated total energy in eV/atom: -6.480
! Magnetization in μB/cell: 3.13
! Density of states at the Fermi level in states/eV per cell: 7.217
! Space-group type: P4/mmm
! Calculated volume in Å³ per atom: 25.53
&SYSTEM
  ibrav = 0, nat = 5, ntyp = 4
/
ATOMIC_SPECIES
Hf 178.49 Hf.upf
V 50.94 V.upf
Te 127.60 Te.upf
N 14.01 N.upf
CELL_PARAMETERS angstrom
5.6905 0.0000 0.0000
0.0000 5.6905 0.0000
0.0000 0.0000 3.9418
ATOMIC_POSITIONS crystal
Hf 0.0000 0.0000 0.0000
V 0.5000 0.5000 0.5000
Te 0.0000 0.5000 0.0000
Te 0.5000 0.0000 0.0000
N 0.0000 0.0000 0.5000

! PBE-GGA HfTeWN2, relaxed; values from VASP
! Calculated total energy in eV/atom: -8.053
! Magnetization in μB/cell: 0.00
! Density of states at the Fermi level in states/eV per cell: 1.800
! Space-group type: P4/mmm
! Calculated volume in Å³ per atom: 17.56
&SYSTEM
  ibrav = 0, nat = 5, ntyp = 4
/
ATOMIC_SPECIES
Hf 178.49 Hf.upf
Te 127.60 Te.upf
W 183.84 W.upf
N 14.01 N.upf
CELL_PARAMETERS angstrom
3.9999 0.0000 0.0000
0.0000 3.9999 0.0000
0.0000 0.0000 5.4879
ATOMIC_POSITIONS crystal
Hf 0.0000 0.0000 0.0000
Te 0.5000 0.5000 0.0000
W 0.5000 0.5000 0.5000
N 0.0000 0.5000 0.5000
N 0.5000 0.0000 0.5000

Number 1 is which compound?
HfVTeN2

Repeat the third record exactly.
! PBE-GGA HfTeWN2, relaxed; values from VASP
! Calculated total energy in eV/atom: -8.053
! Magnetization in μB/cell: 0.00
! Density of states at the Fermi level in states/eV per cell: 1.800
! Space-group type: P4/mmm
! Calculated volume in Å³ per atom: 17.56
&SYSTEM
  ibrav = 0, nat = 5, ntyp = 4
/
ATOMIC_SPECIES
Hf 178.49 Hf.upf
Te 127.60 Te.upf
W 183.84 W.upf
N 14.01 N.upf
CELL_PARAMETERS angstrom
3.9999 0.0000 0.0000
0.0000 3.9999 0.0000
0.0000 0.0000 5.4879
ATOMIC_POSITIONS crystal
Hf 0.0000 0.0000 0.0000
Te 0.5000 0.5000 0.0000
W 0.5000 0.5000 0.5000
N 0.0000 0.5000 0.5000
N 0.5000 0.0000 0.5000

Which of these has the lowest calculated volume?
HfVTeN2